(1)
Pm8Sn2Au (PBE, optimized geometry); D(E_F) = 10.2 states/eV/f.u.; ρ = 7.76 g/cm3
1.0
-1.647 4.802 0.853
-6.359 -1.815 -2.063
0.894 -4.109 9.324
Pm Sn Au
8 2 1
direct
0.407 0.525 0.813
0.653 0.998 0.305
0.784 0.680 0.568
0.983 0.222 0.965
0.216 0.320 0.432
0.347 0.002 0.695
0.593 0.475 0.187
0.017 0.778 0.035
0.819 0.246 0.638
0.181 0.754 0.362
0.500 0.000 0.000


(2)
PmSn3Au6 (PBE, optimized geometry); D(E_F) = 3.0 states/eV/f.u.; ρ = 11.62 g/cm3
1.0
5.138 0.000 0.000
-1.713 7.353 0.000
-1.713 -3.677 6.368
Pm Sn Au
1 3 6
direct
0.644 0.000 0.000
0.985 0.402 0.000
0.985 0.000 0.402
0.582 0.598 0.598
0.082 0.000 0.768
0.082 0.768 0.000
0.521 0.000 0.575
0.521 0.575 0.000
0.947 0.425 0.425
0.313 0.232 0.232


(3)
Pm3SnAu2 (PBE, optimized geometry); D(E_F) = 5.5 states/eV/f.u.; ρ = 10.01 g/cm3
1.0
3.603 0.000 0.000
0.000 3.603 0.000
0.000 0.000 12.112
Pm Sn Au
3 1 2
direct
0.000 0.000 0.000
0.000 0.000 0.685
0.000 0.000 0.315
0.500 0.500 0.500
0.500 0.500 0.846
0.500 0.500 0.154


(4)
PmSn2Au2 (PBE, optimized geometry); D(E_F) = 1.7 states/eV/f.u.; ρ = 10.48 g/cm3
1.0
-1.330 3.453 2.887
-4.185 -1.873 0.313
3.403 -6.183 8.962
Pm Sn Au
2 4 4
direct
0.250 0.737 0.230
0.750 0.263 0.770
0.250 0.808 0.869
0.750 0.192 0.131
0.250 0.208 0.482
0.750 0.792 0.518
0.250 0.639 0.646
0.750 0.361 0.354
0.250 0.301 0.011
0.750 0.699 0.989


no.,uncorrected energy (eV/cell)
1,-53.93
2,-38.79
3,-29.25
4,-43.92